# SiNiSeN2

A relaxed structure of SiNiSeN2 (PBE, Alexandria).

Values from the calculation:
**SG**: P4/mmm, No. 123
**Distance to the lowest polymorph of the same formula**: 0 meV per atom
**Total moment**: 0.92 μB/f.u.
**Theoretical density**: 4.02 g cm⁻³

Cell lengths 3.389, 3.389, 6.968 Å; angles 90.00, 90.00, 90.00 degrees
Positions (direct):
Si1 0.000 0.000 0.000
Ni1 0.500 0.500 0.500
Se1 0.000 0.000 0.500
N1 0.000 0.500 0.000
N2 0.500 0.000 0.000